Computed, not measured: a relaxed SmSc crystal at the GGA-PBE level of DFT.

Cell: 5.475 3.527 6.055 Å, 90.00 90.00 90.00°
Fractional positions:
Sm 0.250 0.000 0.176
Sm 0.750 0.000 0.824
Sc 0.250 0.500 0.659
Sc 0.750 0.500 0.341

Summary:
Mass density in g cm⁻³: 5.5
Fermi-level density of states in states/eV/cell: 7.1
Energy of formation from the pure elements in eV/f.u.: 0.1
M_tot in μB per cell: 0.0
Calculated total energy in eV/atom: -5.483